(1)
Entry from Alexandria: an optimized crystal structure of Co3PbC (GGA-PBE).

```
Co3PbC
1.0
4.8760 0.0000 0.0000
0.0000 4.8760 0.0000
0.0000 0.0000 4.8760
Co Pb C
3 1 1
direct
0.0000 0.0000 0.5000
0.0000 0.5000 0.0000
0.5000 0.0000 0.0000
0.0000 0.0000 0.0000
0.5000 0.5000 0.5000
```

Values from the calculation:
As for the size of the total moment: 4.10 μB/f.u. For the formation energy, the calculation gives 2.9111 eV per atom. Its uncorrected energy is -3.94 eV/atom. The calculated volume comes out at 115.9 Å³ per cell. As for the space-group type: Pm-3m, No. 221. As for the energy above the most stable polymorph in this dataset: 2648 meV per atom.



(2)
Entry from Alexandria: an optimized crystal structure of CoPb3C (GGA-PBE).

```
CoPb3C
1.0
4.9436 0.0000 0.0000
0.0000 4.9436 0.0000
0.0000 0.0000 4.9436
Co Pb C
1 3 1
direct
0.0000 0.0000 0.0000
0.0000 0.5000 0.5000
0.5000 0.0000 0.5000
0.5000 0.5000 0.0000
0.5000 0.5000 0.5000
```

Values from the calculation:
As for the size of the total moment: 1.63 μB/f.u. For the formation energy, the calculation gives 1.3739 eV per atom. Its uncorrected energy is -4.12 eV/atom. The calculated volume comes out at 120.8 Å³ per cell. As for the space-group type: Pm-3m, No. 221. As for the energy above the most stable polymorph in this dataset: 27 meV per atom.



(3)
Entry from Alexandria: an optimized crystal structure of Co2PbC (GGA-PBE).

```
Co2PbC
1.0
5.9584 0.0000 0.0000
0.0000 5.9584 0.0000
0.0000 0.0000 5.9584
Co Pb C
8 4 4
direct
0.2500 0.2500 0.2500
0.2500 0.2500 0.7500
0.2500 0.7500 0.2500
0.2500 0.7500 0.7500
0.7500 0.2500 0.2500
0.7500 0.2500 0.7500
0.7500 0.7500 0.2500
0.7500 0.7500 0.7500
0.0000 0.0000 0.0000
0.0000 0.5000 0.5000
0.5000 0.0000 0.5000
0.5000 0.5000 0.0000
0.0000 0.0000 0.5000
0.0000 0.5000 0.0000
0.5000 0.0000 0.0000
0.5000 0.5000 0.5000
```

Values from the calculation:
As for the size of the total moment: 1.88 μB/f.u. For the formation energy, the calculation gives 1.5347 eV per atom. Its uncorrected energy is -5.25 eV/atom. The calculated volume comes out at 211.5 Å³ per cell. As for the space-group type: Fm-3m, No. 225. As for the energy above the most stable polymorph in this dataset: 993 meV per atom.



(4)
Entry from Alexandria: an optimized crystal structure of CoPb3C (GGA-PBE).

```
CoPb3C
1.0
5.0172 0.0000 0.0000
0.0000 5.0172 0.0000
0.0000 0.0000 5.0172
Co Pb C
1 3 1
direct
0.0000 0.0000 0.0000
0.0000 0.0000 0.5000
0.0000 0.5000 0.0000
0.5000 0.0000 0.0000
0.5000 0.5000 0.5000
```

Values from the calculation:
As for the size of the total moment: 1.00 μB/f.u. For the formation energy, the calculation gives 1.3470 eV per atom. Its uncorrected energy is -4.14 eV/atom. The calculated volume comes out at 126.3 Å³ per cell. As for the space-group type: Pm-3m, No. 221. As for the energy above the most stable polymorph in this dataset: 0 meV per atom.



(5)
Entry from Alexandria: an optimized crystal structure of Co2PbC (GGA-PBE).

```
Co2PbC
1.0
5.1904 0.0000 0.0000
0.0000 5.1904 0.0000
0.0000 0.0000 9.0681
Co Pb C
8 4 4
direct
0.1074 0.2500 0.1250
0.2500 0.6074 0.3750
0.2500 0.8926 0.8750
0.3926 0.2500 0.6250
0.6074 0.7500 0.6250
0.7500 0.1074 0.8750
0.7500 0.3926 0.3750
0.8926 0.7500 0.1250
0.0000 0.0000 0.5000
0.0000 0.5000 0.7500
0.5000 0.0000 0.2500
0.5000 0.5000 0.0000
0.0000 0.0000 0.0000
0.0000 0.5000 0.2500
0.5000 0.0000 0.7500
0.5000 0.5000 0.5000
```

Values from the calculation:
As for the size of the total moment: 0.00 μB/f.u. For the formation energy, the calculation gives 0.5418 eV per atom. Its uncorrected energy is -6.24 eV/atom. The calculated volume comes out at 244.3 Å³ per cell. As for the space-group type: I-42d, No. 122. As for the energy above the most stable polymorph in this dataset: 0 meV per atom.



(6)
Entry from Alexandria: an optimized crystal structure of Co3PbC (GGA-PBE).

```
Co3PbC
1.0
3.9038 0.0000 0.0000
0.0000 3.9038 0.0000
0.0000 0.0000 3.9038
Co Pb C
3 1 1
direct
0.0000 0.0000 0.5000
0.0000 0.5000 0.0000
0.5000 0.0000 0.0000
0.5000 0.5000 0.5000
0.0000 0.0000 0.0000
```

Values from the calculation:
As for the size of the total moment: 2.01 μB/f.u. For the formation energy, the calculation gives 0.2627 eV per atom. Its uncorrected energy is -6.59 eV/atom. The calculated volume comes out at 59.5 Å³ per cell. As for the space-group type: Pm-3m, No. 221. As for the energy above the most stable polymorph in this dataset: 0 meV per atom.



(7)
Entry from Alexandria: an optimized crystal structure of Co2PtPbC (GGA-PBE).

```
Co2PtPbC
1.0
4.8261 0.0000 0.0000
0.0000 4.8261 0.0000
0.0000 0.0000 4.2149
Co Pt Pb C
2 1 1 1
direct
0.0000 0.5000 0.0000
0.5000 0.0000 0.0000
0.0000 0.0000 0.5000
0.5000 0.5000 0.0000
0.5000 0.5000 0.5000
```

Values from the calculation:
As for the size of the total moment: 3.73 μB/f.u. For the formation energy, the calculation gives 2.4379 eV per atom. Its uncorrected energy is -4.20 eV/atom. The calculated volume comes out at 98.2 Å³ per cell. As for the space-group type: P4/mmm, No. 123.



(8)
Entry from Alexandria: an optimized crystal structure of CoRhPbC2 (GGA-PBE).

```
CoRhPbC2
1.0
3.6916 0.0000 0.0000
0.0000 3.6916 0.0000
0.0000 0.0000 5.4003
Co Rh Pb C
1 1 1 2
direct
0.0000 0.0000 0.0000
0.0000 0.0000 0.5000
0.5000 0.5000 0.5000
0.0000 0.5000 0.0000
0.5000 0.0000 0.0000
```

Values from the calculation:
As for the size of the total moment: 0.61 μB/f.u. For the formation energy, the calculation gives 1.2850 eV per atom. Its uncorrected energy is -6.04 eV/atom. The calculated volume comes out at 73.6 Å³ per cell. As for the space-group type: P4/mmm, No. 123.



(9)
Entry from Alexandria: an optimized crystal structure of CoRuPb2C (GGA-PBE).

```
CoRuPb2C
1.0
5.3829 0.0000 0.0000
0.0000 5.3829 0.0000
0.0000 0.0000 3.8220
Co Ru Pb C
1 1 2 1
direct
0.0000 0.0000 0.0000
0.5000 0.5000 0.5000
0.0000 0.5000 0.5000
0.5000 0.0000 0.5000
0.5000 0.5000 0.0000
```

Values from the calculation:
As for the size of the total moment: 1.68 μB/f.u. For the formation energy, the calculation gives 1.1503 eV per atom. Its uncorrected energy is -5.45 eV/atom. The calculated volume comes out at 110.7 Å³ per cell. As for the space-group type: P4/mmm, No. 123.



(10)
Entry from Alexandria: an optimized crystal structure of CoTePbC2 (GGA-PBE).

```
CoTePbC2
1.0
3.9752 0.0000 0.0000
0.0000 3.9752 0.0000
0.0000 0.0000 5.7130
Co Te Pb C
1 1 1 2
direct
0.0000 0.0000 0.0000
0.5000 0.5000 0.5000
0.0000 0.0000 0.5000
0.0000 0.5000 0.0000
0.5000 0.0000 0.0000
```

Values from the calculation:
As for the size of the total moment: 0.00 μB/f.u. Its uncorrected energy is -4.85 eV/atom. The calculated volume comes out at 90.3 Å³ per cell. As for the space-group type: P4/mmm, No. 123. For the uncorrected formation energy, the calculation gives 788 kJ/mol of formula units.



(11)
Entry from Alexandria: an optimized crystal structure of CoPd3C (GGA-PBE).

```
CoPd3C
1.0
4.1135 0.0000 0.0000
0.0000 4.1135 0.0000
0.0000 0.0000 4.1135
Co Pd C
1 3 1
direct
0.0000 0.0000 0.0000
0.0000 0.5000 0.5000
0.5000 0.0000 0.5000
0.5000 0.5000 0.0000
0.5000 0.5000 0.5000
```

Values from the calculation:
As for the size of the total moment: 2.02 μB/f.u. For the formation energy, the calculation gives 0.4863 eV per atom. Its uncorrected energy is -5.90 eV/atom. The calculated volume comes out at 69.6 Å³ per cell. As for the space-group type: Pm-3m, No. 221. As for the energy above the most stable polymorph in this dataset: 0 meV per atom.



(12)
Entry from Alexandria: an optimized crystal structure of Co2PdC (GGA-PBE).

```
Co2PdC
1.0
6.0713 0.0000 0.0000
0.0000 6.0713 0.0000
0.0000 0.0000 4.8032
Co Pd C
8 4 4
direct
0.1480 0.2500 0.1250
0.2500 0.6480 0.3750
0.2500 0.8520 0.8750
0.3520 0.2500 0.6250
0.6480 0.7500 0.6250
0.7500 0.1480 0.8750
0.7500 0.3520 0.3750
0.8520 0.7500 0.1250
0.0000 0.0000 0.5000
0.0000 0.5000 0.7500
0.5000 0.0000 0.2500
0.5000 0.5000 0.0000
0.0000 0.0000 0.0000
0.0000 0.5000 0.2500
0.5000 0.0000 0.7500
0.5000 0.5000 0.5000
```

Values from the calculation:
As for the size of the total moment: 1.62 μB/f.u. For the formation energy, the calculation gives 0.3649 eV per atom. Its uncorrected energy is -6.79 eV/atom. The calculated volume comes out at 177.0 Å³ per cell. As for the space-group type: I-42d, No. 122.